(1)
The following is a DFT calculation (PBE) of LiCaPdPb2 after structural relaxation.

Computed properties:
ρ ... 6851 kg/m3
Energy relative to the elements ... -0.25 eV/atom
Energy ... -17.761 eV/cell
Space group ... P4/mmm
Total magnetization ... 0.000 μB/atom

```
LiCaPdPb2
1.0
5.346 0.000 0.000
0.000 5.346 0.000
0.000 0.000 4.815
Pb Ca Pd Li
2 1 1 1
direct
0.000 0.500 0.000 Pb
0.500 0.000 0.000 Pb
0.500 0.500 0.500 Ca
0.000 0.000 0.000 Pd
0.000 0.000 0.500 Li
```


(2)
The following is a DFT calculation (PBE) of LiCaPdPb after structural relaxation.

Computed properties:
ρ ... 7170 kg/m3
Energy relative to the elements ... -0.52 eV/atom
Energy ... -14.916 eV/cell
Space group ... F-43m
Total magnetization ... 0.000 μB/atom

```
LiCaPdPb
1.0
-3.558 2.645 -2.102
-4.272 0.652 2.324
-1.165 4.414 1.799
Pb Ca Pd Li
1 1 1 1
direct
0.250 0.250 0.250 Pb
0.750 0.750 0.750 Ca
0.500 0.500 0.500 Pd
0.000 0.000 0.000 Li
```


(3)
The following is a DFT calculation (PBE) of Li2CaPmPb2 after structural relaxation.

Computed properties:
ρ ... 6539 kg/m3
Energy relative to the elements ... -0.50 eV/atom
Energy ... -20.985 eV/cell
Space group ... P-3m1
Total magnetization ... 0.000 μB/atom

```
Li2CaPmPb2
1.0
4.882 0.000 0.000
-2.441 4.228 0.000
0.000 0.000 7.547
Li Ca Pm Pb
2 1 1 2
direct
0.333 0.667 0.746 Li
0.667 0.333 0.254 Li
0.000 0.000 0.500 Ca
0.000 0.000 0.000 Pm
0.333 0.667 0.235 Pb
0.667 0.333 0.765 Pb
```


(4)
The following is a DFT calculation (PBE) of Li2Ca2PmPb2 after structural relaxation.

Computed properties:
ρ ... 5540 kg/m3
Energy relative to the elements ... -0.41 eV/atom
Energy ... -22.868 eV/cell
Space group ... R-3m
Total magnetization ... 0.121 μB/atom

```
Li2Ca2PmPb2
1.0
-4.090 -2.215 -1.624
-1.989 -3.697 2.578
-7.220 4.136 5.068
Li Ca Pm Pb
2 2 1 2
direct
0.600 0.600 0.200 Li
0.400 0.400 0.800 Li
0.129 0.129 0.614 Ca
0.871 0.871 0.386 Ca
0.000 0.000 0.000 Pm
0.736 0.736 0.792 Pb
0.264 0.264 0.208 Pb
```


> What is the formula in the third record?

Li2CaPmPb2